Entry 1:
This record from the Alexandria database describes crystalline TaBe2Hg at its relaxed geometry. The functional is GGA-PBE.

```
data_TaBe2Hg
_chemical_formula_sum 'Ta2 Be4 Hg2'
_cell_length_a 4.057
_cell_length_b 4.102
_cell_length_c 6.694
_cell_angle_alpha 90.00
_cell_angle_beta 90.00
_cell_angle_gamma 90.00
_symmetry_space_group_name_H-M 'C m m 2'
_symmetry_Int_Tables_number 35
loop_
_symmetry_equiv_pos_as_xyz
'x,y,z'
'-x,-y,z'
'-x,y,z'
'x,-y,z'
'x+1/2,y+1/2,z'
'-x+1/2,-y+1/2,z'
'-x+1/2,y+1/2,z'
'x+1/2,-y+1/2,z'
loop_
_atom_site_label
_atom_site_type_symbol
_atom_site_fract_x
_atom_site_fract_y
_atom_site_fract_z
_atom_site_occupancy
Ta1 Ta 0.000 0.000 0.000 1
Be1 Be 0.000 0.000 0.399 1
Be2 Be 0.000 0.500 0.248 1
Hg1 Hg 0.000 0.500 0.655 1
```

---

Entry 2:
This record from the Alexandria database describes crystalline Al2TlAg at its relaxed geometry. The functional is GGA-PBE.

```
data_Al2TlAg
_chemical_formula_sum 'Al4 Tl2 Ag2'
_cell_length_a 3.019
_cell_length_b 5.356
_cell_length_c 10.334
_cell_angle_alpha 90.00
_cell_angle_beta 90.00
_cell_angle_gamma 90.00
_symmetry_space_group_name_H-M 'I m m 2'
_symmetry_Int_Tables_number 44
loop_
_symmetry_equiv_pos_as_xyz
'x,y,z'
'-x,-y,z'
'-x,y,z'
'x,-y,z'
'x+1/2,y+1/2,z+1/2'
'-x+1/2,-y+1/2,z+1/2'
'-x+1/2,y+1/2,z+1/2'
'x+1/2,-y+1/2,z+1/2'
loop_
_atom_site_label
_atom_site_type_symbol
_atom_site_fract_x
_atom_site_fract_y
_atom_site_fract_z
_atom_site_occupancy
Al1 Al 0.000 0.000 0.000 1
Al2 Al 0.000 0.500 0.270 1
Tl1 Tl 0.000 0.500 0.778 1
Ag1 Ag 0.000 0.000 0.550 1
```

---

Entry 3:
This record from the Alexandria database describes crystalline BaZnCd2 at its relaxed geometry. The functional is GGA-PBE.

```
data_BaZnCd2
_chemical_formula_sum 'Ba1 Zn1 Cd2'
_cell_length_a 4.031
_cell_length_b 4.540
_cell_length_c 6.818
_cell_angle_alpha 90.00
_cell_angle_beta 107.03
_cell_angle_gamma 90.00
_symmetry_space_group_name_H-M 'P 1 m 1'
_symmetry_Int_Tables_number 6
loop_
_symmetry_equiv_pos_as_xyz
'x,y,z'
'x,-y,z'
loop_
_atom_site_label
_atom_site_type_symbol
_atom_site_fract_x
_atom_site_fract_y
_atom_site_fract_z
_atom_site_occupancy
Ba1 Ba 0.000 0.000 0.000 1
Zn1 Zn 0.377 0.500 0.750 1
Cd1 Cd 0.264 0.000 0.527 1
Cd2 Cd 0.695 0.500 0.389 1
```

---

ΔH_f (0 K), respectively: 0.23, 0.22, -0.14 eV/atom.
N(E_F), respectively: 3.7, 2.7, 2.3 states/eV per cell.